Density functional theory data (PBE-GGA) for a geometry-optimized La2WSe structure.

The density of states at the Fermi level comes out at 5.67 states/eV/f.u. As for the offset from the most stable computed form: 596.8 meV per atom. Its electronic total energy is -6.26 eV per atom. The total magnetization comes out at 0.00 μB per formula unit. As for the crystal system: cubic.

The structure belongs to space group F-43m (No. 216); the cell edges are 7.197, 7.197 and 7.197 Å and the angles 90.00°, 90.00° and 90.00°. The inequivalent atoms are La at (0.000, 0.000, 0.000), La at (0.250, 0.250, 0.250), W at (0.250, 0.250, 0.750) and Se at (0.000, 0.000, 0.500).